# PBE SiBiN2O, relaxed
data_SiBiN2O
_chemical_formula_sum 'Si1 Bi1 N2 O1'
_cell_length_a 4.283
_cell_length_b 4.283
_cell_length_c 4.210
_cell_angle_alpha 90.00
_cell_angle_beta 90.00
_cell_angle_gamma 90.00
_space_group_name_H-M_alt 'P 4/m m m'
_space_group_IT_number 123
_space_group_name_Hall '-P 4 2'
loop_
_atom_site_label
_atom_site_fract_x
_atom_site_fract_y
_atom_site_fract_z
Si1 0.000 0.000 0.000
Bi1 0.500 0.500 0.500
N1 0.000 0.500 0.500
O1 0.500 0.500 0.000
# E   -0.352 Ry per atom
# Formation energy (no corrections)   1392 meV per atom
# Total magnetic moment   0.430 μB per cell